# 1
Mn2CdFeH | the Alexandria database | GGA-PBE | optimized geometry; uncorrected energy = -5.977 eV per atom; crystal system = trigonal
1.0
1.354 0.782 8.828
-1.354 0.782 8.828
0.000 -1.563 8.828
Mn Cd Fe H
2 1 1 1
Cartesian
0.000 0.000 0.000
0.000 0.000 6.953
0.000 0.000 11.272
0.000 0.000 22.477
0.000 0.000 14.653

=====

# 2
NiPb2 | the Alexandria database | GGA-PBE | optimized geometry; uncorrected energy = -4.254 eV per atom; crystal system = monoclinic; ΔH_f (0 K) = 0.15 eV/atom
1.0
7.075 -1.700 0.000
7.075 1.700 0.000
-0.074 0.000 6.331
Ni Pb
2 4
Cartesian
0.000 0.000 0.000
7.639 0.000 4.547
2.314 0.000 3.397
5.078 0.000 5.289
6.440 0.000 2.119
9.356 0.000 0.326

=====

# 3
Ba2CrCu | the Alexandria database | GGA-PBE | optimized geometry; uncorrected energy = -3.810 eV per atom; crystal system = trigonal; ΔH_f (0 K) = 0.58 eV/atom
1.0
2.357 1.361 8.293
-2.357 1.361 8.293
0.000 -2.721 8.293
Ba Cr Cu
2 1 1
Cartesian
0.000 0.000 5.985
0.000 0.000 18.894
0.000 0.000 0.000
0.000 0.000 12.440

=====

For the records above, the corresponding size of the total moment values read 2.10; 0.00; 5.03 μB/f.u..